Record 1
First-principles (PBE) data for a relaxed SrIn crystal, as listed in Alexandria.

Calculated values
**Spin magnetization**: 0.0000 μB per atom
**Energy of formation**: -0.2361 eV per atom
**Energy**: -2.446 eV/atom

```
data_SrIn
_symmetry_space_group_name_H-M 'P 4/n m m'
_symmetry_Int_Tables_number 129
_cell_length_a 3.967
_cell_length_b 3.967
_cell_length_c 9.352
_cell_angle_alpha 90.00
_cell_angle_beta 90.00
_cell_angle_gamma 90.00
loop_
_symmetry_equiv_pos_as_xyz
'x,y,z'
'-x,-y,-z'
'-y+1/2,x,z'
'y+1/2,-x,-z'
'-x+1/2,-y+1/2,z'
'x+1/2,y+1/2,-z'
'y,-x+1/2,z'
'-y,x+1/2,-z'
'x+1/2,-y,-z'
'-x+1/2,y,z'
'-y,-x,-z'
'y,x,z'
'-x,y+1/2,-z'
'x,-y+1/2,z'
'y+1/2,x+1/2,-z'
'-y+1/2,-x+1/2,z'
loop_
_atom_site_label
_atom_site_type_symbol
_atom_site_fract_x
_atom_site_fract_y
_atom_site_fract_z
Sr1 Sr 0.250 0.250 0.182
In1 In 0.250 0.250 0.584
```

=====

Record 2
First-principles (PBE) data for a relaxed LaMg2ZrCo crystal, as listed in Alexandria.

Calculated values
**Spin magnetization**: 0.0000 μB per atom
**Energy of formation**: 0.0232 eV per atom
**Energy**: -4.731 eV/atom

```
data_LaMg2ZrCo
_symmetry_space_group_name_H-M 'P 4/m m m'
_symmetry_Int_Tables_number 123
_symmetry_space_group_name_Hall '-P 4 2'
_cell_length_a 5.000
_cell_length_b 5.000
_cell_length_c 4.725
_cell_angle_alpha 90.00
_cell_angle_beta 90.00
_cell_angle_gamma 90.00
loop_
_atom_site_label
_atom_site_type_symbol
_atom_site_fract_x
_atom_site_fract_y
_atom_site_fract_z
La1 La 0.000 0.000 0.000
Mg1 Mg 0.000 0.500 0.500
Zr1 Zr 0.500 0.500 0.000
Co1 Co 0.500 0.500 0.500
```

=====

Record 3
First-principles (PBE) data for a relaxed TlSiRu2 crystal, as listed in Alexandria.

Calculated values
**Offset from the most stable computed form**: 2.47 eV per formula unit
**Uncorrected formation energy**: 592 meV/atom
**Spin magnetization**: 0.0000 μB per atom
**Energy**: -5.994 eV/atom

```
data_TlSiRu2
_symmetry_space_group_name_H-M 'I -4 2 d'
_symmetry_Int_Tables_number 122
_symmetry_space_group_name_Hall 'I -4 2bw'
_cell_length_a 4.287
_cell_length_b 4.287
_cell_length_c 16.710
_cell_angle_alpha 90.00
_cell_angle_beta 90.00
_cell_angle_gamma 90.00
loop_
_atom_site_label
_atom_site_type_symbol
_atom_site_fract_x
_atom_site_fract_y
_atom_site_fract_z
Tl1 Tl 0.000 0.000 0.000
Si1 Si 0.000 0.000 0.500
Ru1 Ru 0.152 0.250 0.625
```

=====

Number 1: volume 36.8 Å³/atom, DOS at the Fermi energy 1.664 states/eV/f.u.. Number 2: volume 23.6 Å³/atom, DOS at the Fermi energy 3.142 states/eV/f.u.. Number 3: volume 19.2 Å³/atom, DOS at the Fermi energy 3.973 states/eV/f.u..